DFT (PBE) results for Zn3AsO after structural relaxation.

## Properties
Relative energy among the computed polymorphs ... 0.000 eV per atom
Volume ... 76.6 Å³/f.u.
Energy relative to the elements, uncorrected ... -0.197 eV/atom
Raw total energy ... -14.4 eV/f.u.

```
data_Zn3AsO
_chemical_formula_sum 'Zn3 As1 O1'
_cell_length_a 4.247
_cell_length_b 4.247
_cell_length_c 4.247
_cell_angle_alpha 90.00
_cell_angle_beta 90.00
_cell_angle_gamma 90.00
_space_group_name_H-M_alt 'P m -3 m'
_space_group_IT_number 221
_space_group_name_Hall '-P 4 2 3'
loop_
_atom_site_label
_atom_site_type_symbol
_atom_site_fract_x
_atom_site_fract_y
_atom_site_fract_z
_atom_site_occupancy
Zn1 Zn 0.000 0.000 0.500 1
As1 As 0.500 0.500 0.500 1
O1 O 0.000 0.000 0.000 1
```


DFT (PBE) results for Th2ZnCoPd after structural relaxation.

## Properties
Volume ... 107.6 Å³/f.u.
Raw total energy ... -30.5 eV/f.u.
Calculated formation energy ... -414 meV/atom

```
data_Th2ZnCoPd
_chemical_formula_sum 'Th4 Zn2 Co2 Pd2'
_cell_length_a 7.171
_cell_length_b 4.245
_cell_length_c 7.368
_cell_angle_alpha 90.00
_cell_angle_beta 106.35
_cell_angle_gamma 90.00
_space_group_name_H-M_alt 'P 1 21/m 1'
_space_group_IT_number 11
_space_group_name_Hall '-P 2yb'
loop_
_atom_site_label
_atom_site_type_symbol
_atom_site_fract_x
_atom_site_fract_y
_atom_site_fract_z
_atom_site_occupancy
Th1 Th 0.127 0.250 0.349 1
Th2 Th 0.283 0.250 0.949 1
Zn1 Zn 0.342 0.750 0.654 1
Co1 Co 0.099 0.750 0.081 1
Pd1 Pd 0.443 0.750 0.328 1
```


DFT (PBE) results for SrHoPbAu after structural relaxation.

## Properties
Volume ... 112.9 Å³/f.u.
Raw total energy ... -15.6 eV/f.u.
Calculated formation energy ... -589 meV/atom

```
data_SrHoPbAu
_chemical_formula_sum 'Sr4 Ho4 Pb4 Au4'
_cell_length_a 7.672
_cell_length_b 7.672
_cell_length_c 7.672
_cell_angle_alpha 90.00
_cell_angle_beta 90.00
_cell_angle_gamma 90.00
_space_group_name_H-M_alt 'F -4 3 m'
_space_group_IT_number 216
_space_group_name_Hall 'F -4 2 3'
loop_
_atom_site_label
_atom_site_type_symbol
_atom_site_fract_x
_atom_site_fract_y
_atom_site_fract_z
_atom_site_occupancy
Sr1 Sr 0.000 0.000 0.000 1
Ho1 Ho 0.000 0.000 0.500 1
Pb1 Pb 0.250 0.250 0.250 1
Au1 Au 0.250 0.250 0.750 1
```


DFT (PBE) results for Li2ErZnSn2 after structural relaxation.

## Properties
Volume ... 132.7 Å³/f.u.
Raw total energy ... -20.2 eV/f.u.
Calculated formation energy ... -417 meV/atom

```
data_Li2ErZnSn2
_chemical_formula_sum 'Li4 Er2 Zn2 Sn4'
_cell_length_a 4.529
_cell_length_b 8.204
_cell_length_c 7.144
_cell_angle_alpha 90.00
_cell_angle_beta 90.00
_cell_angle_gamma 90.00
_space_group_name_H-M_alt 'P m c 21'
_space_group_IT_number 26
_space_group_name_Hall 'P 2c -2'
loop_
_atom_site_label
_atom_site_type_symbol
_atom_site_fract_x
_atom_site_fract_y
_atom_site_fract_z
_atom_site_occupancy
Li1 Li 0.000 0.066 0.000 1
Li2 Li 0.500 0.164 0.312 1
Er1 Er 0.500 0.462 0.982 1
Zn1 Zn 0.000 0.323 0.655 1
Sn1 Sn 0.000 0.351 0.259 1
Sn2 Sn 0.500 0.155 0.719 1
```


DFT (PBE) results for Dy4SbAs2S after structural relaxation.

## Properties
Volume ... 201.4 Å³/f.u.
Energy relative to the elements, uncorrected ... -1.542 eV/atom
Raw total energy ... -48.3 eV/f.u.

```
data_Dy4SbAs2S
_chemical_formula_sum 'Dy4 Sb1 As2 S1'
_cell_length_a 7.173
_cell_length_b 4.142
_cell_length_c 7.185
_cell_angle_alpha 90.00
_cell_angle_beta 109.34
_cell_angle_gamma 90.00
_space_group_name_H-M_alt 'P 1 2/m 1'
_space_group_IT_number 10
_space_group_name_Hall '-P 2y'
loop_
_atom_site_label
_atom_site_type_symbol
_atom_site_fract_x
_atom_site_fract_y
_atom_site_fract_z
_atom_site_occupancy
Dy1 Dy 0.238 0.000 0.238 1
Dy2 Dy 0.246 0.500 0.758 1
Sb1 Sb 0.500 0.500 0.500 1
As1 As 0.000 0.500 0.000 1
As2 As 0.500 0.000 0.000 1
S1 S 0.000 0.000 0.500 1
```


DFT (PBE) results for BaAl2Ag2 after structural relaxation.

## Properties
Volume ... 111.2 Å³/f.u.
Raw total energy ... -14.9 eV/f.u.
Calculated formation energy ... 38 meV/atom

```
data_BaAl2Ag2
_chemical_formula_sum 'Ba2 Al4 Ag4'
_cell_length_a 8.523
_cell_length_b 8.523
_cell_length_c 3.063
_cell_angle_alpha 90.00
_cell_angle_beta 90.00
_cell_angle_gamma 90.00
_space_group_name_H-M_alt 'P 4/m b m'
_space_group_IT_number 127
_space_group_name_Hall '-P 4 2ab'
loop_
_atom_site_label
_atom_site_type_symbol
_atom_site_fract_x
_atom_site_fract_y
_atom_site_fract_z
_atom_site_occupancy
Ba1 Ba 0.000 0.000 0.000 1
Al1 Al 0.123 0.377 0.000 1
Ag1 Ag 0.162 0.662 0.500 1
```


DFT (PBE) results for HgPOs after structural relaxation.

## Properties
Relative energy among the computed polymorphs ... 0.628 eV per atom
Volume ... 56.7 Å³/f.u.
Raw total energy ... -14.5 eV/f.u.
Calculated formation energy ... 798 meV/atom

```
data_HgPOs
_chemical_formula_sum 'Hg4 P4 Os4'
_cell_length_a 6.099
_cell_length_b 6.099
_cell_length_c 6.099
_cell_angle_alpha 90.00
_cell_angle_beta 90.00
_cell_angle_gamma 90.00
_space_group_name_H-M_alt 'F -4 3 m'
_space_group_IT_number 216
_space_group_name_Hall 'F -4 2 3'
loop_
_atom_site_label
_atom_site_type_symbol
_atom_site_fract_x
_atom_site_fract_y
_atom_site_fract_z
_atom_site_occupancy
Hg1 Hg 0.000 0.000 0.000 1
P1 P 0.000 0.000 0.500 1
Os1 Os 0.250 0.250 0.250 1
```


DFT (PBE) results for ScZnGa after structural relaxation.

## Properties
Volume ... 55.2 Å³/f.u.
Raw total energy ... -11.7 eV/f.u.
Calculated formation energy ... -356 meV/atom

```
data_ScZnGa
_chemical_formula_sum 'Sc2 Zn2 Ga2'
_cell_length_a 3.998
_cell_length_b 3.998
_cell_length_c 6.903
_cell_angle_alpha 90.00
_cell_angle_beta 90.00
_cell_angle_gamma 90.00
_space_group_name_H-M_alt 'P 4/n m m'
_space_group_IT_number 129
loop_
_space_group_symop_operation_xyz
'x,y,z'
'-x,-y,-z'
'-y+1/2,x,z'
'y+1/2,-x,-z'
'-x+1/2,-y+1/2,z'
'x+1/2,y+1/2,-z'
'y,-x+1/2,z'
'-y,x+1/2,-z'
'x+1/2,-y,-z'
'-x+1/2,y,z'
'-y,-x,-z'
'y,x,z'
'-x,y+1/2,-z'
'x,-y+1/2,z'
'y+1/2,x+1/2,-z'
'-y+1/2,-x+1/2,z'
loop_
_atom_site_label
_atom_site_type_symbol
_atom_site_fract_x
_atom_site_fract_y
_atom_site_fract_z
_atom_site_occupancy
Sc1 Sc 0.250 0.250 0.168 1
Zn1 Zn 0.250 0.250 0.758 1
Ga1 Ga 0.250 0.750 0.500 1
```